First-principles (PBE) data for a relaxed structure of LiPb2Au2, as listed in Alexandria via LeMat-Bulk.

Properties
Crystal system: tetragonal
Density of states at the Fermi level, states/eV/cell: 3.71
Mass density, g/cm3: 11.00
Energy relative to the lowest polymorph listed for this composition, meV/atom: 134
Formation enthalpy at 0 K, meV/atom: -77.5
Raw total energy, eV/atom: -3.25

Unit cell a=8.1840 b=8.1840 c=3.6744 alpha=90.00 beta=90.00 gamma=90.00
Last column: nearest neighbours and their distance in Å.
Fractional coordinates of all 10 atoms:
Pb1 0.6520 0.1520 0.0000  6 Au 2.95-3.07, 2 Li 3.11
Pb2 0.8480 0.6520 0.0000  6 Au 2.95-3.07, 2 Li 3.11
Pb3 0.1520 0.3480 0.0000  6 Au 2.95-3.07, 2 Li 3.11
Pb4 0.3480 0.8480 0.0000  6 Au 2.95-3.07, 2 Li 3.11
Au1 0.6484 0.8516 0.5000  6 Pb 2.95-3.07
Au2 0.8516 0.3516 0.5000  6 Pb 2.95-3.07
Au3 0.1484 0.6484 0.5000  6 Pb 2.95-3.07
Au4 0.3516 0.1484 0.5000  6 Pb 2.95-3.07
Li1 0.0000 0.0000 0.0000  4 Pb 3.11
Li2 0.5000 0.5000 0.0000  4 Pb 3.11